Compound: InMoPb2S
Source: Alexandria via LeMat-Bulk
Functional: GGA-PBEsol
Structure: optimized geometry

Uncorrected energy ... -24.5 eV per cell

a b c (Å): 4.4109 5.5392 5.5392
angles (deg): 90.00 90.00 90.00
Site moments in Bohr magnetons follow the coordinates.
Positions (direct):
Pb 0.0000 0.0000 0.5000  -0.02
Pb 0.0000 0.5000 0.0000  -0.02
Mo 0.5000 0.0000 0.0000  1.42
S 0.0000 0.0000 0.0000  -0.03
In 0.5000 0.5000 0.5000  -0.01

Compound: Zr2AgN3
Source: Alexandria via LeMat-Bulk
Functional: GGA-PBEsol
Structure: optimized geometry

Uncorrected energy ... -54.5 eV per cell

a b c (Å): 3.2964 3.2964 8.9243
angles (deg): 79.36 79.36 60.00
Positions (direct):
Zr 0.2790 0.2790 0.1630
Zr 0.7210 0.7210 0.8370
Ag 0.5000 0.5000 0.5000
N 0.0000 0.0000 0.0000
N 0.5785 0.5785 0.2646
N 0.4215 0.4215 0.7354

Compound: La2ZrCl
Source: Alexandria via LeMat-Bulk
Functional: GGA-PBEsol
Structure: optimized geometry

Excess energy over the best structure of this formula in the dataset ... 0 meV per atom
Uncorrected energy ... -24.1 eV per cell

a b c (Å): 3.4517 3.5416 9.3488
angles (deg): 90.00 90.53 90.00
Positions (direct):
Cl 0.0000 0.5000 0.5000
Zr 0.5000 0.5000 0.0000
La 0.9911 0.0000 0.7557
La 0.0089 0.0000 0.2443

Compound: Tl2GaHg2
Source: Alexandria via LeMat-Bulk
Functional: GGA-PBEsol
Structure: optimized geometry

Energy relative to the elements ... 64.8 meV per atom
Uncorrected energy ... -18.8 eV per cell

a b c (Å): 5.1390 7.0601 7.0601
angles (deg): 90.00 90.00 90.00
Positions (direct):
Tl 0.5000 0.1725 0.6725
Tl 0.5000 0.6725 0.8275
Tl 0.5000 0.8275 0.3275
Tl 0.5000 0.3275 0.1725
Hg 0.0000 0.3556 0.8556
Hg 0.0000 0.8556 0.6444
Hg 0.0000 0.6444 0.1444
Hg 0.0000 0.1444 0.3556
Ga 0.0000 0.0000 0.0000
Ga 0.0000 0.5000 0.5000

no.,magnetization (μB per atom)
1,0.3011
2,0.0000
3,0.0001
4,0.0000